# Pr6Ga2SBr3 | Alexandria via LeMat-Bulk | PBE-GGA | optimized geometry
data_Pr6Ga2SBr3
_cell_length_a 7.3791
_cell_length_b 12.7685
_cell_length_c 7.8029
_cell_angle_alpha 90.00
_cell_angle_beta 108.33
_cell_angle_gamma 90.00
_space_group_name_H-M_alt 'C 1 2/m 1'
_space_group_IT_number 12
loop_
_space_group_symop_operation_xyz
'x,y,z'
'-x,-y,-z'
'-x,y,-z'
'x,-y,z'
'x+1/2,y+1/2,z'
'-x+1/2,-y+1/2,-z'
'-x+1/2,y+1/2,-z'
'x+1/2,-y+1/2,z'
loop_
_atom_site_label
_atom_site_type_symbol
_atom_site_fract_x
_atom_site_fract_y
_atom_site_fract_z
Pr1 Pr 0.2356 0.1637 0.2149
Pr2 Pr 0.2437 0.5000 0.2153
Ga1 Ga 0.0000 0.3335 0.0000
S1 S 0.0000 0.0000 0.0000
Br1 Br 0.0000 0.1713 0.5000
Br2 Br 0.0000 0.5000 0.5000
# Theoretical density, g/cm3: 5.98
# E_form (uncorrected), eV/atom: -1.172

***

# Zn2MoAsRu | Alexandria via LeMat-Bulk | PBE-GGA | optimized geometry
data_Zn2MoAsRu
_cell_length_a 4.8839
_cell_length_b 4.8839
_cell_length_c 4.5794
_cell_angle_alpha 90.00
_cell_angle_beta 90.00
_cell_angle_gamma 90.00
_space_group_name_H-M_alt 'P 4/m m m'
_space_group_IT_number 123
_space_group_name_Hall '-P 4 2'
loop_
_atom_site_label
_atom_site_type_symbol
_atom_site_fract_x
_atom_site_fract_y
_atom_site_fract_z
Zn1 Zn 0.0000 0.5000 0.0000
Mo1 Mo 0.0000 0.0000 0.0000
As1 As 0.5000 0.5000 0.5000
Ru1 Ru 0.0000 0.0000 0.5000
# Theoretical density, g/cm3: 6.12
# DFT formation energy, eV/atom: 1.3037